HgMoP2S | PBE | optimized geometry

Values from the calculation:
Raw total energy   -4.879 eV/atom
Energy above the lowest structure with this stoichiometry   0.0 meV per atom
E_form (uncorrected)   336.7 meV/atom
M_tot   0.000 μB/atom

abc: 4.820 4.820 4.596
angles: 90.00 90.00 90.00
Space group P4/mmm (No. 123)
Inequivalent atoms, fractional coordinates:
Hg (0.000, 0.000, 0.000) [1 per cell]
Mo (0.500, 0.500, 0.500) [1 per cell]
P (0.000, 0.500, 0.500) [2 per cell]
S (0.500, 0.500, 0.000) [1 per cell]

PmU6 | PBE | optimized geometry

Values from the calculation:
Raw total energy   -9.587 eV/atom
Energy of formation   0.768 eV/atom
M_tot   0.183 μB/atom

abc: 7.132 7.132 7.132
angles: 90.00 90.00 90.00
Space group Im-3m (No. 229)
Inequivalent atoms, fractional coordinates:
Pm (0.000, 0.000, 0.000) [2 per cell]
U (0.000, 0.250, 0.500) [12 per cell]

BaLiPrI6 | PBE | optimized geometry

Values from the calculation:
Raw total energy   -3.452 eV/atom
E_form (uncorrected)   -1460.8 meV/atom
M_tot   0.000 μB/atom

abc: 7.9560 7.9560 15.0592
angles: 90.00 90.00 120.00
Space group P-31c (No. 163)
Inequivalent atoms, fractional coordinates:
Ba (0.0000, 0.0000, 0.0000) [2 per cell]
Li (0.3333, 0.6667, 0.2500) [2 per cell]
Pr (0.3333, 0.6667, 0.7500) [2 per cell]
I (0.0107, 0.3665, 0.1326) [12 per cell]

Tl2CrCuTe | PBE | optimized geometry

Values from the calculation:
Raw total energy   -3.700 eV/atom
E_form (uncorrected)   619.2 meV/atom
M_tot   0.958 μB/atom

abc: 5.444 5.444 4.844
angles: 90.00 90.00 90.00
Space group P4/mmm (No. 123)
Inequivalent atoms, fractional coordinates:
Tl (0.000, 0.500, 0.000) [2 per cell]
Cr (0.000, 0.000, 0.000) [1 per cell]
Cu (0.000, 0.000, 0.500) [1 per cell]
Te (0.500, 0.500, 0.500) [1 per cell]

Sc3Te2O2 | PBE | optimized geometry

Values from the calculation:
Raw total energy   -7.261 eV/atom
Energy above the lowest structure with this stoichiometry   0.0 meV per atom
E_form (uncorrected)   -2232.9 meV/atom
M_tot   0.000 μB/atom

abc: 11.430 3.718 7.579
angles: 90.00 124.17 90.00
Space group C2/m (No. 12)
Inequivalent atoms, fractional coordinates:
Sc (0.000, 0.000, 0.000) [2 per cell]
Sc (0.187, 0.000, 0.785) [4 per cell]
Te (0.074, 0.500, 0.349) [4 per cell]
O (0.209, 0.000, 0.084) [4 per cell]

LiMnIn | PBE | optimized geometry

Values from the calculation:
Raw total energy   -4.527 eV/atom
Energy of formation   0.080 eV/atom
Energy above the lowest structure with this stoichiometry   0.0 meV per atom
M_tot   1.177 μB/atom

abc: 4.5343 4.5343 2.8851
angles: 90.00 90.00 120.00
Space group P3m1 (No. 156)
Inequivalent atoms, fractional coordinates:
Li (0.0000, 0.0000, 0.0000) [1 per cell]
Mn (0.6667, 0.3333, 0.3028) [1 per cell]
In (0.3333, 0.6667, 0.7290) [1 per cell]

RbCu3Rh4O12 | PBE | optimized geometry

Values from the calculation:
Raw total energy   -5.796 eV/atom
E_form (uncorrected)   -688.2 meV/atom
M_tot   0.130 μB/atom

abc: 7.536 7.536 7.536
angles: 90.00 90.00 90.00
Space group Im-3 (No. 204)
Inequivalent atoms, fractional coordinates:
Rb (0.000, 0.000, 0.000) [2 per cell]
Cu (0.000, 0.000, 0.500) [6 per cell]
Rh (0.250, 0.250, 0.250) [8 per cell]
O (0.000, 0.178, 0.322) [24 per cell]

Ce2Zn6Ga3 | PBE | optimized geometry

Values from the calculation:
Raw total energy   -2.932 eV/atom
Energy of formation   -0.333 eV/atom
M_tot   0.056 μB/atom

abc: 7.6238 7.6238 4.1314
angles: 90.00 90.00 120.00
Space group P-62m (No. 189)
Inequivalent atoms, fractional coordinates:
Ce (0.3333, 0.6667, 0.0000) [2 per cell]
Zn (0.0000, 0.2873, 0.5000) [3 per cell]
Zn (0.0000, 0.8072, 0.0000) [3 per cell]
Ga (0.0000, 0.6176, 0.5000) [3 per cell]